[1]
{"formula": "Sr3Sn3Au2", "functional": "PBE", "state": "optimized geometry", "space_group": "Cmcm, No. 63", "lattice_angstrom": [[2.428, -5.825, 0.000], [2.428, 5.825, 0.000], [0.000, 0.000, 16.348]], "species": ["Sr", "Sr", "Sr", "Sr", "Sr", "Sr", "Sn", "Sn", "Sn", "Sn", "Sn", "Sn", "Au", "Au", "Au", "Au"], "fractional_positions": [[0.092, 0.908, 0.610], [0.092, 0.908, 0.890], [0.369, 0.631, 0.750], [0.631, 0.369, 0.250], [0.908, 0.092, 0.110], [0.908, 0.092, 0.390], [0.335, 0.665, 0.250], [0.380, 0.620, 0.535], [0.380, 0.620, 0.965], [0.620, 0.380, 0.035], [0.620, 0.380, 0.465], [0.665, 0.335, 0.750], [0.199, 0.801, 0.104], [0.199, 0.801, 0.396], [0.801, 0.199, 0.604], [0.801, 0.199, 0.896]]}



[2]
{"formula": "Sr2Sn7Au12", "functional": "PBE", "state": "optimized geometry", "space_group": "P-1, No. 2", "lattice_angstrom": [[5.156, 0.000, 0.000], [0.005, 10.660, 0.000], [0.004, 5.324, 9.240]], "species": ["Sr", "Sr", "Sn", "Sn", "Sn", "Sn", "Sn", "Sn", "Sn", "Au", "Au", "Au", "Au", "Au", "Au", "Au", "Au", "Au", "Au", "Au", "Au"], "fractional_positions": [[0.189, 0.166, 0.167], [0.811, 0.834, 0.833], [0.000, 0.500, 0.500], [0.345, 0.779, 0.607], [0.346, 0.114, 0.779], [0.347, 0.607, 0.114], [0.653, 0.393, 0.886], [0.654, 0.886, 0.221], [0.655, 0.221, 0.393], [0.167, 0.352, 0.793], [0.168, 0.792, 0.355], [0.169, 0.356, 0.351], [0.206, 0.048, 0.560], [0.206, 0.561, 0.892], [0.207, 0.892, 0.047], [0.793, 0.108, 0.953], [0.794, 0.439, 0.108], [0.794, 0.952, 0.440], [0.831, 0.644, 0.649], [0.832, 0.208, 0.645], [0.833, 0.648, 0.207]]}



[3]
{"formula": "Sr3Sn6Au5", "functional": "PBE", "state": "optimized geometry", "space_group": "Pmmn, No. 59", "lattice_angstrom": [[4.799, 0.000, 0.000], [0.000, 14.466, 0.000], [0.000, 0.000, 10.288]], "species": ["Sr", "Sr", "Sr", "Sr", "Sr", "Sr", "Sn", "Sn", "Sn", "Sn", "Sn", "Sn", "Sn", "Sn", "Sn", "Sn", "Sn", "Sn", "Au", "Au", "Au", "Au", "Au", "Au", "Au", "Au", "Au", "Au"], "fractional_positions": [[0.250, 0.047, 0.242], [0.250, 0.453, 0.242], [0.250, 0.750, 0.247], [0.750, 0.250, 0.753], [0.750, 0.547, 0.758], [0.750, 0.953, 0.758], [0.250, 0.085, 0.887], [0.250, 0.250, 0.074], [0.250, 0.250, 0.438], [0.250, 0.415, 0.887], [0.250, 0.595, 0.530], [0.250, 0.905, 0.530], [0.750, 0.095, 0.470], [0.750, 0.405, 0.470], [0.750, 0.585, 0.113], [0.750, 0.750, 0.562], [0.750, 0.750, 0.926], [0.750, 0.915, 0.113], [0.250, 0.098, 0.618], [0.250, 0.402, 0.618], [0.250, 0.612, 0.976], [0.250, 0.750, 0.742], [0.250, 0.888, 0.976], [0.750, 0.112, 0.024], [0.750, 0.250, 0.258], [0.750, 0.388, 0.024], [0.750, 0.598, 0.382], [0.750, 0.902, 0.382]]}



[4]
{"formula": "Sr3Sn4Au", "functional": "PBE", "state": "optimized geometry", "space_group": "Immm, No. 71", "lattice_angstrom": [[-2.480, 3.112, 9.129], [2.480, -3.112, 9.129], [2.480, 3.112, -9.129]], "species": ["Sr", "Sr", "Sr", "Sn", "Sn", "Sn", "Sn", "Au"], "fractional_positions": [[0.000, 0.000, 0.000], [0.289, 0.789, 0.500], [0.711, 0.211, 0.500], [0.116, 0.381, 0.735], [0.355, 0.619, 0.735], [0.645, 0.381, 0.265], [0.884, 0.619, 0.265], [0.500, 0.500, 0.000]]}



[5]
{"formula": "SrSn3Au3", "functional": "PBE", "state": "optimized geometry", "space_group": "R-3, No. 148", "lattice_angstrom": [[4.321, 2.495, 5.953], [-4.321, 2.495, 5.953], [0.000, -4.989, 5.953]], "species": ["Sr", "Sr", "Sn", "Sn", "Sn", "Sn", "Sn", "Sn", "Au", "Au", "Au", "Au", "Au", "Au"], "fractional_positions": [[0.167, 0.167, 0.167], [0.833, 0.833, 0.833], [0.100, 0.716, 0.407], [0.284, 0.593, 0.900], [0.407, 0.100, 0.716], [0.593, 0.900, 0.284], [0.716, 0.407, 0.100], [0.900, 0.284, 0.593], [0.072, 0.416, 0.760], [0.240, 0.928, 0.584], [0.416, 0.760, 0.072], [0.584, 0.240, 0.928], [0.760, 0.072, 0.416], [0.928, 0.584, 0.240]]}



[6]
{"formula": "Sr2TbSnAu6", "functional": "PBE", "state": "optimized geometry", "space_group": "Fm-3m, No. 225", "lattice_angstrom": [[0.000, 5.401, 5.401], [5.401, 0.000, 5.401], [5.401, 5.401, 0.000]], "species": ["Sr", "Sr", "Tb", "Sn", "Au", "Au", "Au", "Au", "Au", "Au"], "fractional_positions": [[0.250, 0.250, 0.250], [0.750, 0.750, 0.750], [0.000, 0.000, 0.000], [0.500, 0.500, 0.500], [0.254, 0.254, 0.746], [0.254, 0.746, 0.254], [0.254, 0.746, 0.746], [0.746, 0.254, 0.254], [0.746, 0.254, 0.746], [0.746, 0.746, 0.254]]}



For the records above, the corresponding total moment values read 0.00, 0.00, 0.00, 0.00, 0.00, 0.00 μB per formula unit.
For the records above, the corresponding volume values read 462, 508, 714, 282, 385, 315 Å³/cell.
For the records above, the corresponding formation energy from the elements values read -0.706, -0.302, -0.517, -0.418, -0.318, -0.231 eV per atom.